Density functional theory data (PBE) for a relaxed structure of Na2BeRh.

Lattice parameters (Å, degrees): 9.8317 9.8317 7.2494 47.30 47.30 90.00
Fractional coordinates of all 8 atoms:
1 Na 0.4785 0.1250 0.2500
2 Na 0.2715 0.6250 0.2500
3 Na 0.3750 0.5215 0.7500
4 Na 0.8750 0.7285 0.7500
5 Rh 0.0000 0.0000 0.0000
6 Rh 0.7500 0.2500 0.5000
7 Be 0.5000 0.5000 0.0000
8 Be 0.2500 0.7500 0.5000

Values from the calculation:
Total moment (μB per cell): 0.00
Total DFT energy (no corrections) (eV/atom): -2.908